1.
The following is a DFT calculation (PBE) of crystalline CsSnS at its relaxed geometry. Values from VASP.

```
&SYSTEM
  ibrav = 0, nat = 12, ntyp = 3
/
ATOMIC_SPECIES
Cs 132.91 Cs.upf
Sn 118.71 Sn.upf
S 32.06 S.upf
CELL_PARAMETERS angstrom
11.343 -2.675 0.000
11.343 2.675 0.000
-2.923 0.000 8.209
ATOMIC_POSITIONS crystal
Cs 0.092 0.092 0.496
Cs 0.162 0.162 0.004
Cs 0.838 0.838 0.996
Cs 0.908 0.908 0.504
Sn 0.280 0.280 0.495
Sn 0.491 0.491 0.831
Sn 0.509 0.509 0.169
Sn 0.720 0.720 0.505
S 0.322 0.322 0.273
S 0.370 0.370 0.765
S 0.630 0.630 0.235
S 0.678 0.678 0.727
```

crystal system	monoclinic
SG	C2/m, No. 12
energy above the lowest structure with this stoichiometry	0.0000	eV/atom



2.
The following is a DFT calculation (PBE) of crystalline Cs3SnS at its relaxed geometry. Values from VASP.

```
&SYSTEM
  ibrav = 0, nat = 5, ntyp = 3
/
ATOMIC_SPECIES
Cs 132.91 Cs.upf
Sn 118.71 Sn.upf
S 32.06 S.upf
CELL_PARAMETERS angstrom
6.759 0.000 0.000
0.000 6.759 0.000
0.000 0.000 6.759
ATOMIC_POSITIONS crystal
Cs 0.000 0.000 0.500
Cs 0.000 0.500 0.000
Cs 0.500 0.000 0.000
Sn 0.500 0.500 0.500
S 0.000 0.000 0.000
```

crystal system	cubic
SG	Pm-3m, No. 221
energy above the lowest structure with this stoichiometry	0.0000	eV/atom



3.
The following is a DFT calculation (PBE) of crystalline CsSnS2 at its relaxed geometry. Values from VASP.

```
&SYSTEM
  ibrav = 0, nat = 12, ntyp = 3
/
ATOMIC_SPECIES
Cs 132.91 Cs.upf
Sn 118.71 Sn.upf
S 32.06 S.upf
CELL_PARAMETERS angstrom
4.030 0.000 0.000
-2.015 3.490 0.000
0.000 0.000 28.137
ATOMIC_POSITIONS crystal
Cs 0.000 0.000 0.000
Cs 0.333 0.667 0.667
Cs 0.667 0.333 0.333
Sn 0.000 0.000 0.500
Sn 0.333 0.667 0.167
Sn 0.667 0.333 0.833
S 0.000 0.000 0.115
S 0.000 0.000 0.885
S 0.333 0.667 0.552
S 0.333 0.667 0.782
S 0.667 0.333 0.218
S 0.667 0.333 0.448
```

crystal system	trigonal
SG	R-3m, No. 166
E_tot	-3.70	eV per atom



What did the second record say?
The following is a DFT calculation (PBE) of crystalline Cs3SnS at its relaxed geometry. Values from VASP.

```
&SYSTEM
  ibrav = 0, nat = 5, ntyp = 3
/
ATOMIC_SPECIES
Cs 132.91 Cs.upf
Sn 118.71 Sn.upf
S 32.06 S.upf
CELL_PARAMETERS angstrom
6.759 0.000 0.000
0.000 6.759 0.000
0.000 0.000 6.759
ATOMIC_POSITIONS crystal
Cs 0.000 0.000 0.500
Cs 0.000 0.500 0.000
Cs 0.500 0.000 0.000
Sn 0.500 0.500 0.500
S 0.000 0.000 0.000
```

crystal system	cubic
SG	Pm-3m, No. 221
energy above the lowest structure with this stoichiometry	0.0000	eV/atom



- What is the formula in the second record?
  Cs3SnS